No. 1
{"formula": "CaLa2SiRu", "functional": "PBE", "state": "optimized geometry", "lattice": [[5.5640, 0.0000, 0.0000], [0.0000, 5.5640, 0.0000], [0.0000, 0.0000, 4.8102]], "species": ["Ru", "Ca", "Si", "La", "La"], "frac_coords": [[0.0000, 0.0000, 0.0000], [0.5000, 0.5000, 0.5000], [0.0000, 0.0000, 0.5000], [0.0000, 0.5000, 0.0000], [0.5000, 0.0000, 0.0000]], "energy_ev_per_atom": -5.52, "m_tot_mub_per_fu": 0.00, "formation_energy_uncorrected_ev_per_atom": -0.21, "vol_a3_per_cell": 148.92}

---

No. 2
{"formula": "NbAs2OsSe", "functional": "PBE", "state": "optimized geometry", "lattice": [[4.9944, 0.0000, 0.0000], [0.0000, 4.9944, 0.0000], [0.0000, 0.0000, 4.8770]], "species": ["Nb", "Os", "As", "As", "Se"], "frac_coords": [[0.0000, 0.0000, 0.0000], [0.5000, 0.5000, 0.5000], [0.0000, 0.5000, 0.0000], [0.5000, 0.0000, 0.0000], [0.0000, 0.0000, 0.5000]], "energy_ev_per_atom": -5.54, "m_tot_mub_per_fu": 3.07, "formation_energy_uncorrected_ev_per_atom": 1.27, "vol_a3_per_cell": 121.65, "polymorph_energy_mev_per_atom": 352.8}

---

No. 3
{"formula": "TcAgMo2", "functional": "PBE", "state": "optimized geometry", "lattice": [[-0.0915, -3.0952, 1.1279], [1.9188, -0.9672, -2.4987], [4.8536, 1.0646, 3.3152]], "species": ["Ag", "Mo", "Mo", "Tc"], "frac_coords": [[0.5000, 0.5000, 0.7487], [0.0000, 0.0000, 0.0264], [0.5000, 0.5000, 0.2554], [0.0000, 0.0000, 0.4695]], "energy_ev_per_atom": -8.31, "m_tot_mub_per_fu": 0.00, "vol_a3_per_cell": 64.88, "polymorph_energy_mev_per_atom": 130.8}

---

No. 4
{"formula": "Dy2Ga3Cu4Ge", "functional": "PBE", "state": "optimized geometry", "lattice": [[4.1463, 0.0000, 0.0000], [0.0000, 4.1463, 0.0000], [0.0000, 0.0000, 10.0156]], "species": ["Dy", "Dy", "Ga", "Ga", "Ga", "Cu", "Cu", "Cu", "Cu", "Ge"], "frac_coords": [[0.5000, 0.0000, 0.2474], [0.0000, 0.5000, 0.7526], [0.0000, 0.0000, 0.5000], [0.5000, 0.0000, 0.8700], [0.0000, 0.5000, 0.1300], [0.5000, 0.5000, 0.0000], [0.0000, 0.0000, 0.0000], [0.5000, 0.0000, 0.6333], [0.0000, 0.5000, 0.3667], [0.5000, 0.5000, 0.5000]], "energy_ev_per_atom": -4.35, "m_tot_mub_per_fu": 0.00, "vol_a3_per_cell": 172.18}

---

No. 5
{"formula": "CePm2Pa", "functional": "PBE", "state": "optimized geometry", "lattice": [[5.2005, 0.0000, 0.0000], [0.0000, 4.7682, 0.0000], [0.0000, 0.0000, 4.7682]], "species": ["Pa", "Ce", "Pm", "Pm"], "frac_coords": [[0.5000, 0.0000, 0.0000], [0.5000, 0.5000, 0.5000], [0.0000, 0.0000, 0.5000], [0.0000, 0.5000, 0.0000]], "energy_ev_per_atom": -5.98, "m_tot_mub_per_fu": 0.68, "vol_a3_per_cell": 118.24, "polymorph_energy_mev_per_atom": 51.9}

---

No. 6
{"formula": "MgBiAu4", "functional": "PBE", "state": "optimized geometry", "lattice": [[5.6243, 0.0000, 0.0000], [2.8122, 4.8708, 0.0000], [2.8122, 1.6236, 4.5922]], "species": ["Mg", "Au", "Au", "Au", "Au", "Bi"], "frac_coords": [[0.0000, 0.0000, 0.0000], [0.6256, 0.6256, 0.1232], [0.6256, 0.1232, 0.6256], [0.6256, 0.6256, 0.6256], [0.1232, 0.6256, 0.6256], [0.2500, 0.2500, 0.2500]], "energy_ev_per_atom": -3.25, "m_tot_mub_per_fu": 0.00, "vol_a3_per_cell": 125.80, "polymorph_energy_mev_per_atom": 0.0}

---

No. 7
{"formula": "Pm4CdAgHg2", "functional": "PBE", "state": "optimized geometry", "lattice": [[-0.8540, 4.7023, -2.4357], [-2.9047, 0.1984, -4.5052], [-8.5305, 2.7683, 2.4286]], "species": ["Pm", "Pm", "Pm", "Pm", "Cd", "Ag", "Hg", "Hg"], "frac_coords": [[0.3781, 0.3781, 0.8657], [0.8725, 0.8725, 0.3826], [0.1275, 0.1275, 0.6174], [0.6219, 0.6219, 0.1343], [0.0000, 0.0000, 0.0000], [0.5000, 0.5000, 0.5000], [0.7459, 0.7459, 0.7624], [0.2541, 0.2541, 0.2376]], "energy_ev_per_atom": -3.31, "m_tot_mub_per_fu": 0.95, "vol_a3_per_cell": 218.29}

---

No. 8
{"formula": "PmNdEu2", "functional": "PBE", "state": "optimized geometry", "lattice": [[-0.3363, -3.7053, 0.0181], [3.4995, -0.3236, -1.2211], [3.5168, -0.2696, 10.1500]], "species": ["Eu", "Eu", "Nd", "Pm"], "frac_coords": [[0.0000, 0.0000, 0.7509], [0.0000, 0.0000, 0.2491], [0.5000, 0.5000, 0.5000], [0.5000, 0.5000, 0.0000]], "energy_ev_per_atom": -7.42, "m_tot_mub_per_fu": 14.86, "vol_a3_per_cell": 148.74, "polymorph_energy_mev_per_atom": 18.1}